1.
LiPuSi2: optimized geometry, GGA-PBE.

Cell lengths 4.112, 4.142, 4.142 Å; angles 90.00, 90.00, 90.00 degrees
Atoms (fractional coordinates):
Li1 0.500 0.000 0.000
Pu1 0.500 0.500 0.500
Si1 0.000 0.500 0.000
Si2 0.000 0.000 0.500

Summary:
Space group   P4/mmm (123)
ΔE_f (raw)   -23 kJ/mol of atoms
Energy above the most stable polymorph in this dataset   0.494 eV per formula unit

=====

2.
CeScTlH: optimized geometry, GGA-PBE.

Cell lengths 3.988, 3.988, 9.618 Å; angles 90.00, 90.00, 90.00 degrees
Atoms (fractional coordinates):
Tl1 0.750 0.750 0.232
Tl2 0.250 0.250 0.768
Ce1 0.250 0.750 0.500
Ce2 0.750 0.250 0.500
Sc1 0.750 0.750 0.903
Sc2 0.250 0.250 0.097
H1 0.250 0.750 0.000
H2 0.750 0.250 0.000

Summary:
Space group   P4/nmm (129)

=====

3.
SmCd2Bi4: optimized geometry, GGA-PBE.

Cell lengths 4.735, 6.745, 6.745 Å; angles 96.81, 90.00, 90.00 degrees
Atoms (fractional coordinates):
Bi1 0.500 0.000 0.500
Bi2 0.000 0.775 0.775
Bi3 0.500 0.500 0.000
Bi4 0.000 0.225 0.225
Sm1 0.500 0.500 0.500
Cd1 0.000 0.247 0.753
Cd2 0.000 0.753 0.247

Summary:
Space group   Cmmm (65)

=====

4.
CdCl2: optimized geometry, GGA-PBE.

Cell lengths 3.899, 3.899, 25.395 Å; angles 85.54, 85.54, 60.00 degrees
Atoms (fractional coordinates):
Cl1 0.353 0.353 0.943
Cl2 0.814 0.814 0.557
Cl3 0.730 0.730 0.807
Cl4 0.898 0.898 0.307
Cl5 0.102 0.102 0.693
Cl6 0.186 0.186 0.443
Cl7 0.270 0.270 0.193
Cl8 0.647 0.647 0.057
Cd1 0.416 0.416 0.750
Cd2 0.584 0.584 0.250
Cd3 0.500 0.500 0.500
Cd4 0.000 0.000 0.000

Summary:
Space group   C2/m (12)
ΔE_f (raw)   -105 kJ/mol of atoms

=====

no.,V (Å³ per cell),uncorrected energy (eV per cell)
1,70.55,-28.05
2,152.98,-37.85
3,213.90,-23.57
4,332.98,-31.51